Version P
Pr5Y12Tm2 | PBE-GGA | optimized geometry

The space group is C2/m (No. 12) and the conventional cell measures 17.9089, 9.1809 and 8.7466 Å, with angles of 90.00, 115.84 and 90.00 degrees. The asymmetric unit holds Pr at (0.0000, 0.0000, 0.0000), Pr at (0.2109, 0.5000, 0.7230), Pr at (0.2367, 0.0000, 0.7943), Y at (0.0454, 0.0000, 0.6811), Y at (0.0599, 0.5000, 0.2181), Y at (0.1272, 0.2770, 0.9554), Y at (0.1449, 0.1851, 0.4082) and Tm at (0.0000, 0.3278, 0.5000).

As for the total magnetic moment: 0.00 μB per cell.


Version Q
Pr5Y12Tm2 | PBE-GGA | optimized geometry

The space group is P-1 (No. 2) and the conventional cell measures 6.2323, 9.5332 and 11.3697 Å, with angles of 90.09, 100.57 and 109.04 degrees. The asymmetric unit holds Pr at (0.0000, 0.0000, 0.0000), Pr at (0.2600, 0.8387, 0.5259), Pr at (0.4731, 0.3167, 0.9475), Y at (0.0528, 0.3691, 0.1075), Y at (0.1042, 0.7342, 0.2122), Y at (0.1575, 0.1068, 0.3167), Y at (0.3191, 0.2132, 0.6309), Y at (0.3690, 0.5789, 0.7345), Y at (0.4215, 0.9476, 0.8409) and Tm at (0.2104, 0.4739, 0.4219).

As for the total magnetic moment: 0.00 μB per cell.


Energetically preferred structure: version Q | next structure: +185 meV/atom


Version P
Pr6YTm4 | PBE-GGA | optimized geometry

The space group is I-42m (No. 121) and the conventional cell measures 6.8490, 6.8490 and 16.3427 Å, with angles of 90.00, 90.00 and 90.00 degrees. The asymmetric unit holds Pr at (0.0000, 0.5000, 0.0000), Pr at (0.1931, 0.1931, 0.1794), Y at (0.0000, 0.0000, 0.0000) and Tm at (0.1732, 0.1732, 0.3885).

As for the total magnetic moment: 0.00 μB per cell.


Version Q
Pr6YTm4 | PBE-GGA | optimized geometry

The space group is I-42m (No. 121) and the conventional cell measures 6.5914, 6.5914 and 17.6753 Å, with angles of 90.00, 90.00 and 90.00 degrees. The asymmetric unit holds Pr at (0.0000, 0.5000, 0.0000), Pr at (0.1784, 0.1784, 0.3609), Y at (0.0000, 0.0000, 0.0000) and Tm at (0.1829, 0.1829, 0.1726).

As for the total magnetic moment: 0.00 μB per cell.


Energetically preferred structure: version Q | next structure: +16 meV/atom


Version P
PrY7Tm3 | PBE-GGA | optimized geometry

The space group is P2/m (No. 10) and the conventional cell measures 6.9140, 5.5631 and 9.9338 Å, with angles of 90.00, 108.91 and 90.00 degrees. The asymmetric unit holds Pr at (0.0000, 0.0000, 0.0000), Y at (0.0000, 0.0000, 0.5000), Y at (0.1482, 0.5000, 0.7883), Y at (0.3253, 0.5000, 0.1410), Y at (0.4287, 0.0000, 0.3323), Tm at (0.2751, 0.5000, 0.4947) and Tm at (0.5000, 0.0000, 0.0000).

As for the total magnetic moment: 0.00 μB per cell.


Version Q
PrY7Tm3 | PBE-GGA | optimized geometry

The space group is Immm (No. 71) and the conventional cell measures 5.7954, 11.1313 and 11.2879 Å, with angles of 90.00, 90.00 and 90.00 degrees. The asymmetric unit holds Pr at (0.0000, 0.0000, 0.0000), Y at (0.0000, 0.2012, 0.3015), Y at (0.0000, 0.2946, 0.0000), Y at (0.0000, 0.5000, 0.5000), Tm at (0.0000, 0.0000, 0.5000) and Tm at (0.0000, 0.5000, 0.2043).

As for the total magnetic moment: 0.00 μB per cell.


Energetically preferred structure: version P | next structure: +112 meV/atom


Version P
Pr2Y3Tm2 | PBE-GGA | optimized geometry

The space group is P-1 (No. 2) and the conventional cell measures 3.5858, 8.0348 and 8.7998 Å, with angles of 111.80, 90.11 and 102.89 degrees. The asymmetric unit holds Pr at (0.2156, 0.4303, 0.1448), Y at (0.3591, 0.7191, 0.5709), Y at (0.5000, 0.0000, 0.0000) and Tm at (0.0703, 0.1401, 0.7114).

As for the total magnetic moment: 0.00 μB per cell.


Version Q
Pr2Y3Tm2 | PBE-GGA | optimized geometry

The space group is C2/m (No. 12) and the conventional cell measures 16.9608, 3.5550 and 8.8441 Å, with angles of 90.00, 119.48 and 90.00 degrees. The asymmetric unit holds Pr at (0.1379, 0.0000, 0.3276), Y at (0.0000, 0.5000, 0.5000), Y at (0.2043, 0.0000, 0.7967) and Tm at (0.0705, 0.5000, 0.9263).

As for the total magnetic moment: 0.00 μB per cell.


Energetically preferred structure: version P | next structure: +8 meV/atom


Version P
PrY12Tm7 | PBE-GGA | optimized geometry

The space group is Im-3m (No. 229) and the conventional cell measures 11.3196, 11.3196 and 11.3196 Å, with angles of 90.00, 90.00 and 90.00 degrees. The asymmetric unit holds Pr at (0.0000, 0.0000, 0.0000), Y at (0.0000, 0.2561, 0.2561), Tm at (0.0000, 0.0000, 0.5000) and Tm at (0.2500, 0.2500, 0.2500).

As for the total magnetic moment: 0.00 μB per cell.


Version Q
PrY12Tm7 | PBE-GGA | optimized geometry

The space group is R-3 (No. 148, hexagonal axes) and the conventional cell measures 12.8446, 12.8446 and 13.5735 Å, with angles of 90.00, 90.00 and 120.00 degrees. The asymmetric unit holds Pr at (0.0000, 0.0000, 0.0000), Y at (0.0019, 0.4365, 0.2475), Y at (0.0684, 0.1980, 0.3445), Tm at (0.0000, 0.0000, 0.5000) and Tm at (0.0689, 0.8668, 0.8510).

As for the total magnetic moment: 0.00 μB per cell.


Energetically preferred structure: version Q | next structure: +400 meV/atom


Version P
Pr2Y7Tm | PBE-GGA | optimized geometry

The space group is Cmmm (No. 65) and the conventional cell measures 6.5564, 29.0892 and 3.5264 Å, with angles of 90.00, 90.00 and 90.00 degrees. The asymmetric unit holds Pr at (0.0000, 0.2072, 0.0000), Y at (0.0000, 0.0000, 0.0000), Y at (0.0000, 0.3150, 0.5000), Y at (0.2447, 0.4029, 0.0000) and Tm at (0.0000, 0.5000, 0.5000).

As for the total magnetic moment: 0.00 μB per cell.


Version Q
Pr2Y7Tm | PBE-GGA | optimized geometry

The space group is P-1 (No. 2) and the conventional cell measures 6.2080, 7.1841 and 8.0150 Å, with angles of 102.88, 97.27 and 106.71 degrees. The asymmetric unit holds Pr at (0.1022, 0.2013, 0.1992), Y at (0.1001, 0.6998, 0.1992), Y at (0.3002, 0.1009, 0.6003), Y at (0.2999, 0.5994, 0.6003), Y at (0.5000, 0.0000, 0.0000) and Tm at (0.5000, 0.5000, 0.0000).

As for the total magnetic moment: 0.00 μB per cell.


Energetically preferred structure: version Q | next structure: +137 meV/atom


Version P
PrY6Tm8 | PBE-GGA | optimized geometry

The space group is P-3 (No. 147) and the conventional cell measures 9.4375, 9.4375 and 6.3978 Å, with angles of 90.00, 90.00 and 120.00 degrees. The asymmetric unit holds Pr at (0.0000, 0.0000, 0.0000), Y at (0.1067, 0.6842, 0.0859), Tm at (0.0224, 0.3374, 0.4122) and Tm at (0.3333, 0.6667, 0.6480).

As for the total magnetic moment: 0.00 μB per cell.


Version Q
PrY6Tm8 | PBE-GGA | optimized geometry

The space group is R-3 (No. 148, hexagonal axes) and the conventional cell measures 8.9997, 8.9997 and 20.4692 Å, with angles of 90.00, 90.00 and 120.00 degrees. The asymmetric unit holds Pr at (0.0000, 0.0000, 0.0000), Y at (0.0637, 0.2461, 0.7081), Tm at (0.0000, 0.0000, 0.4241) and Tm at (0.0807, 0.5527, 0.8089).

As for the total magnetic moment: 0.00 μB per cell.


Energetically preferred structure: version Q | next structure: +95 meV/atom


Version P
PrY4Tm | PBE-GGA | optimized geometry

The space group is P4/mmm (No. 123) and the conventional cell measures 4.5626, 4.5626 and 11.0628 Å, with angles of 90.00, 90.00 and 90.00 degrees. The asymmetric unit holds Pr at (0.0000, 0.0000, 0.0000), Y at (0.0000, 0.5000, 0.2561) and Tm at (0.5000, 0.5000, 0.5000).

As for the total magnetic moment: 0.00 μB per cell.


Version Q
PrY4Tm | PBE-GGA | optimized geometry

The space group is P6/mmm (No. 191) and the conventional cell measures 5.6775, 5.6775 and 6.9444 Å, with angles of 90.00, 90.00 and 120.00 degrees. The asymmetric unit holds Pr at (0.0000, 0.0000, 0.0000), Y at (0.3333, 0.6667, 0.2553) and Tm at (0.0000, 0.0000, 0.5000).

As for the total magnetic moment: 0.00 μB per cell.


Energetically preferred structure: version Q | next structure: +596 meV/atom


Version P
Pr2Y4Tm | PBE-GGA | optimized geometry

The space group is Cm (No. 8) and the conventional cell measures 6.3139, 3.6462 and 20.3324 Å, with angles of 90.00, 95.95 and 90.00 degrees. The asymmetric unit holds Pr at (0.0000, 0.0000, 0.0000), Pr at (0.0969, 0.0000, 0.2916), Y at (0.1926, 0.0000, 0.5782), Y at (0.2143, 0.5000, 0.1444), Y at (0.2852, 0.0000, 0.8543), Y at (0.3122, 0.5000, 0.4380) and Tm at (0.4060, 0.5000, 0.7162).

As for the total magnetic moment: 0.84 μB per cell.


Version Q
Pr2Y4Tm | PBE-GGA | optimized geometry

The space group is I4/mmm (No. 139) and the conventional cell measures 8.4971, 8.4971 and 6.5904 Å, with angles of 90.00, 90.00 and 90.00 degrees. The asymmetric unit holds Pr at (0.0000, 0.5000, 0.2500), Y at (0.1993, 0.1993, 0.0000) and Tm at (0.0000, 0.0000, 0.5000).

As for the total magnetic moment: 0.00 μB per cell.


Energetically preferred structure: version P | next structure: +265 meV/atom


Version P
Pr7Y2Tm3 | PBE-GGA | optimized geometry

The space group is P2/m (No. 10) and the conventional cell measures 5.9022, 3.6405 and 19.2118 Å, with angles of 90.00, 94.15 and 90.00 degrees. The asymmetric unit holds Pr at (0.0000, 0.0000, 0.0000), Pr at (0.1731, 0.5000, 0.1849), Pr at (0.2586, 0.5000, 0.5342), Pr at (0.3311, 0.0000, 0.8553), Y at (0.2960, 0.5000, 0.7011), Tm at (0.2166, 0.0000, 0.3684) and Tm at (0.5000, 0.5000, 0.0000).

As for the total magnetic moment: 0.00 μB per cell.


Version Q
Pr7Y2Tm3 | PBE-GGA | optimized geometry

The space group is P2/m (No. 10) and the conventional cell measures 6.5115, 3.5793 and 17.6390 Å, with angles of 90.00, 95.78 and 90.00 degrees. The asymmetric unit holds Pr at (0.0000, 0.0000, 0.0000), Pr at (0.2274, 0.5000, 0.1732), Pr at (0.2589, 0.5000, 0.4936), Pr at (0.2780, 0.0000, 0.8340), Y at (0.0594, 0.5000, 0.6699), Tm at (0.4567, 0.0000, 0.3409) and Tm at (0.5000, 0.5000, 0.0000).

As for the total magnetic moment: 0.00 μB per cell.


Energetically preferred structure: version Q | next structure: +26 meV/atom